! Ag2RhCl PBE relaxed; values from VASP
! Formation energy without anion corrections, eV per atom: 0.455
! V, Å³ per atom: 18.75
&SYSTEM
  ibrav = 0, nat = 8, ntyp = 3
/
ATOMIC_SPECIES
Ag 107.87 Ag.upf
Rh 102.91 Rh.upf
Cl 35.45 Cl.upf
ATOMIC_POSITIONS angstrom
Ag -4.781 -2.205 2.796
Rh 0.000 0.000 0.000
Ag -6.788 -9.570 6.572
Rh -6.092 -4.074 4.369
Ag -0.726 -5.535 2.222
Cl -2.956 -4.011 1.897
Cl -1.966 -7.397 3.770
Ag -3.821 -5.631 4.688
CELL_PARAMETERS angstrom
-7.081 -0.688 2.496
1.170 -7.334 1.298
-2.147 -3.449 4.345